Record 1
The following is a PBE-GGA calculation of Rb2PaPt2S4 after structural relaxation, from the Alexandria database.

Formation energy without anion corrections ... -1.06 eV per atom

```
Rb2PaPt2S4
1.0
7.4326 -1.9608 0.0000
7.4326 1.9608 0.0000
-2.5722 0.0000 7.6634
Rb Pa Pt S
2 1 2 4
Cartesian
1.7843 0.0000 0.5271
10.5087 0.0000 7.1364
-1.2861 0.0000 3.8317
3.3641 0.0000 3.5069
8.9289 0.0000 4.1565
0.9604 0.0000 5.3036
5.2998 0.0000 5.5151
6.9932 0.0000 2.1483
11.3326 0.0000 2.3598
```

=====

Record 2
The following is a PBE-GGA calculation of Dy4Si6Ru7 after structural relaxation, from the Alexandria database.

Formation energy without anion corrections ... -0.71 eV per atom

```
Dy4Si6Ru7
1.0
-4.1271 4.1271 4.1271
4.1271 -4.1271 4.1271
4.1271 4.1271 -4.1271
Dy Si Ru
4 6 7
Cartesian
2.0636 2.0636 -2.0636
2.0636 -2.0636 2.0636
-2.0636 2.0636 2.0636
2.0636 2.0636 2.0636
2.6553 0.0000 0.0000
5.5990 0.0000 0.0000
0.0000 2.6553 0.0000
0.0000 0.0000 2.6553
0.0000 5.5990 0.0000
0.0000 0.0000 5.5990
0.0000 0.0000 0.0000
4.1271 2.0636 0.0000
4.1271 0.0000 2.0636
2.0636 4.1271 0.0000
2.0636 0.0000 4.1271
0.0000 4.1271 2.0636
0.0000 2.0636 4.1271
```

=====

Record 3
The following is a PBE-GGA calculation of Cu6Au after structural relaxation, from the Alexandria database.

Energy of formation from the pure elements ... 0.93 eV/atom

```
Cu6Au
1.0
-3.1956 3.1956 3.1956
3.1956 -3.1956 3.1956
3.1956 3.1956 -3.1956
Cu Au
6 1
Cartesian
3.1956 1.5978 0.0000
3.1956 0.0000 1.5978
1.5978 3.1956 0.0000
1.5978 0.0000 3.1956
0.0000 3.1956 1.5978
0.0000 1.5978 3.1956
0.0000 0.0000 0.0000
```

=====

Record 4
The following is a PBE-GGA calculation of Na2UTl3S6 after structural relaxation, from the Alexandria database.

Formation energy without anion corrections ... -0.82 eV per atom

```
Na2UTl3S6
1.0
3.5089 -6.3908 0.0000
3.5089 6.3908 0.0000
-2.6071 0.0000 6.9256
Na U Tl S
2 1 3 6
Cartesian
3.5089 4.2772 0.0000
3.5089 -4.2772 0.0000
3.5089 0.0000 0.0000
-1.3035 0.0000 3.4628
2.2054 2.1477 3.4628
2.2054 -2.1477 3.4628
-0.1352 1.8550 5.4632
1.4083 0.0000 1.5013
-0.1352 -1.8550 5.4632
4.5459 1.8550 1.4624
3.0024 0.0000 5.4243
4.5459 -1.8550 1.4624
```

=====

Record 5
The following is a PBE-GGA calculation of SrBeCr2 after structural relaxation, from the Alexandria database.

Energy of formation from the pure elements ... 1.22 eV/atom

```
SrBeCr2
1.0
2.9871 -4.8656 0.0000
2.9871 4.8656 0.0000
-1.4374 0.0000 2.6888
Sr Be Cr
1 1 2
Cartesian
0.0000 0.0000 0.0000
2.9871 0.0000 0.0000
0.7748 2.4328 1.3444
0.7748 -2.4328 1.3444
```

=====

Record 6
The following is a PBE-GGA calculation of ErGa4Ru3 after structural relaxation, from the Alexandria database.

Energy of formation from the pure elements ... -0.35 eV/atom

```
ErGa4Ru3
1.0
8.7730 0.0000 0.0000
0.0000 6.4951 0.0000
0.0000 0.0000 4.4090
Er Ga Ru
2 8 6
Cartesian
0.0000 0.0000 0.0000
4.3865 0.0000 0.0000
0.0000 1.8383 2.2045
0.0000 4.6568 2.2045
2.1932 1.8474 0.0359
2.1932 4.6477 0.0359
4.3865 1.8383 2.2045
4.3865 4.6568 2.2045
6.5797 1.8474 4.3731
6.5797 4.6477 4.3731
0.0000 3.2476 0.0000
2.1932 0.0000 2.0536
2.1932 3.2476 2.2486
4.3865 3.2476 0.0000
6.5797 0.0000 2.3554
6.5797 3.2476 2.1604
```

=====

Record 7
The following is a PBE-GGA calculation of Na3InB2O6 after structural relaxation, from the Alexandria database.

Formation energy without anion corrections ... -2.01 eV per atom

```
Na3InB2O6
1.0
5.2719 0.0000 0.0000
-2.6359 4.5656 0.0000
0.0000 0.0000 6.2258
Na In B O
3 1 2 6
Cartesian
0.0000 0.0000 0.0000
0.0000 3.0437 4.7270
2.6359 1.5219 1.4988
0.0000 0.0000 3.1129
0.0000 3.0437 1.7457
2.6359 1.5219 4.4801
0.0000 1.6590 1.7057
-1.1992 3.7361 1.7057
1.4367 0.8295 4.5202
1.1992 3.7361 1.7057
3.8352 0.8295 4.5202
2.6359 2.9066 4.5202
```

=====

Record 8
The following is a PBE-GGA calculation of CaTb3Er2Bi6 after structural relaxation, from the Alexandria database.

Energy of formation from the pure elements ... -0.82 eV/atom

```
CaTb3Er2Bi6
1.0
9.8026 -2.2448 0.0000
9.8026 2.2448 0.0000
-2.0531 0.0000 8.7739
Ca Tb Er Bi
1 3 2 6
Cartesian
0.0000 0.0000 0.0000
-1.0266 0.0000 4.3869
6.2349 0.0000 1.4534
11.3172 0.0000 7.3205
5.1696 0.0000 5.8572
12.3825 0.0000 2.9166
2.0939 0.0000 5.1054
3.1330 0.0000 0.7699
8.2455 0.0000 6.5314
9.3066 0.0000 2.2424
14.4191 0.0000 8.0040
15.4582 0.0000 3.6685
```

=====

Record 9
The following is a PBE-GGA calculation of NdPuAg after structural relaxation, from the Alexandria database.

Energy of formation from the pure elements ... 0.23 eV/atom

```
NdPuAg
1.0
1.6735 -12.7645 0.0000
1.6735 12.7645 0.0000
0.0000 0.0000 3.3596
Nd Pu Ag
2 2 2
Cartesian
1.6735 9.4832 2.5197
1.6735 -9.4832 0.8399
1.6735 6.7297 0.8399
1.6735 -6.7297 2.5197
1.6735 1.1393 2.5197
1.6735 -1.1393 0.8399
```

=====

Record 10
The following is a PBE-GGA calculation of Pa2Ni9Pt after structural relaxation, from the Alexandria database.

Energy of formation from the pure elements ... -0.28 eV/atom

```
Pa2Ni9Pt
1.0
3.8479 0.0000 0.0000
0.0000 3.8479 0.0000
0.0000 0.0000 11.0850
Pa Ni Pt
2 9 1
Cartesian
0.0000 0.0000 2.0158
0.0000 0.0000 9.0692
0.0000 1.9239 0.0000
0.0000 1.9239 3.7647
0.0000 1.9239 7.3202
1.9239 0.0000 0.0000
1.9239 0.0000 3.7647
1.9239 0.0000 7.3202
1.9239 1.9239 1.8601
1.9239 1.9239 5.5425
1.9239 1.9239 9.2248
0.0000 0.0000 5.5425
```

=====

Record 11
The following is a PBE-GGA calculation of MgBeB2As after structural relaxation, from the Alexandria database.

Energy of formation from the pure elements ... 1.40 eV/atom

```
MgBeB2As
1.0
4.1714 0.0000 0.0000
0.0000 4.1714 0.0000
0.0000 0.0000 4.3774
Mg Be B As
1 1 2 1
Cartesian
0.0000 0.0000 0.0000
2.0857 2.0857 0.0000
0.0000 2.0857 2.1887
2.0857 0.0000 2.1887
2.0857 2.0857 2.1887
```

=====

Record 12
The following is a PBE-GGA calculation of PrAl3Au10 after structural relaxation, from the Alexandria database.

Energy of formation from the pure elements ... -0.30 eV/atom

```
PrAl3Au10
1.0
0.0000 6.5315 6.5315
6.5315 0.0000 6.5315
6.5315 6.5315 0.0000
Pr Al Au
2 6 20
Cartesian
3.2658 3.2658 3.2658
9.7973 9.7973 9.7973
6.5315 6.5315 3.0935
6.5315 3.0935 6.5315
9.9695 6.5315 6.5315
3.0935 6.5315 6.5315
6.5315 9.9695 6.5315
6.5315 6.5315 9.9695
1.5038 1.5038 1.5038
5.0278 5.0278 1.5038
5.0278 1.5038 5.0278
6.5315 4.2847 4.2847
8.7784 6.5315 4.2847
8.7784 4.2847 6.5315
11.5593 8.0353 8.0353
4.2847 6.5315 4.2847
6.5315 8.7784 4.2847
4.2847 4.2847 6.5315
8.7784 8.7784 6.5315
6.5315 4.2847 8.7784
8.7784 6.5315 8.7784
1.5038 5.0278 5.0278
4.2847 8.7784 6.5315
4.2847 6.5315 8.7784
6.5315 8.7784 8.7784
8.0353 11.5593 8.0353
8.0353 8.0353 11.5593
11.5593 11.5593 11.5593
```